Record 1
This record from Alexandria via LeMat-Bulk describes a relaxed Co2PI2 crystal. The functional is PBE-GGA.

POSCAR file:
```
Co2PI2
1.0
-1.8103 1.8103 7.7447
1.8103 -1.8103 7.7447
1.8103 1.8103 -7.7447
Co P I
2 1 2
direct
0.2500 0.7500 0.5000
0.7500 0.2500 0.5000
0.0000 0.0000 0.0000
0.3631 0.3631 0.0000
0.6369 0.6369 0.0000
```

Output
ΔE_f (raw) = 0.76 eV/atom

Record 2
This record from Alexandria via LeMat-Bulk describes a relaxed CdInSnI5 crystal. The functional is PBE-GGA.

POSCAR file:
```
CdInSnI5
1.0
5.1990 -6.7960 0.0000
5.1990 6.7960 0.0000
-4.7053 0.0000 10.4849
Cd In Sn I
2 2 2 10
direct
0.1786 0.8214 0.7500
0.8214 0.1786 0.2500
0.1551 0.8449 0.2500
0.8449 0.1551 0.7500
0.5000 0.5000 0.0000
0.5000 0.5000 0.5000
0.1239 0.2345 0.4507
0.1564 0.5770 0.8776
0.2345 0.1239 0.9507
0.4069 0.5931 0.2500
0.4230 0.8436 0.6224
0.5770 0.1564 0.3776
0.5931 0.4069 0.7500
0.7655 0.8761 0.0493
0.8436 0.4230 0.1224
0.8761 0.7655 0.5493
```

Output
ΔE_f (raw) = -0.50 eV/atom

Record 3
This record from Alexandria via LeMat-Bulk describes a relaxed LaHf2Cr crystal. The functional is PBE-GGA.

POSCAR file:
```
LaHf2Cr
1.0
0.0000 3.4688 3.4688
3.4688 0.0000 3.4688
3.4688 3.4688 0.0000
La Hf Cr
1 2 1
direct
0.0000 0.0000 0.0000
0.2500 0.2500 0.2500
0.7500 0.7500 0.7500
0.5000 0.5000 0.5000
```

Output
ΔH_f (0 K) = 0.567 eV/atom

Record 4
This record from Alexandria via LeMat-Bulk describes a relaxed Ac8Ag2Ir crystal. The functional is PBE-GGA.

POSCAR file:
```
Ac8Ag2Ir
1.0
10.0142 -2.1273 0.0000
10.0142 2.1273 0.0000
-0.6937 0.0000 9.9473
Ac Ag Ir
8 2 1
direct
0.0084 0.0084 0.2059
0.2224 0.2224 0.3338
0.3489 0.3489 0.0011
0.4066 0.4066 0.4800
0.5934 0.5934 0.5200
0.6511 0.6511 0.9989
0.7776 0.7776 0.6662
0.9916 0.9916 0.7941
0.1642 0.1642 0.7453
0.8358 0.8358 0.2547
0.5000 0.5000 0.0000
```

Output
ΔH_f (0 K) = -0.225 eV/atom

Record 5
This record from Alexandria via LeMat-Bulk describes a relaxed Ca3ZrH crystal. The functional is PBE-GGA.

POSCAR file:
```
Ca3ZrH
1.0
6.1607 0.0000 0.0000
0.0000 6.1607 0.0000
0.0000 0.0000 6.1607
Ca Zr H
3 1 1
direct
0.0000 0.0000 0.5000
0.0000 0.5000 0.0000
0.5000 0.0000 0.0000
0.0000 0.0000 0.0000
0.5000 0.5000 0.5000
```

Output
raw total energy = -2.33 eV per atom

Record 6
This record from Alexandria via LeMat-Bulk describes a relaxed AsNCl2 crystal. The functional is PBE-GGA.

POSCAR file:
```
AsNCl2
1.0
0.0000 3.2613 3.2613
3.2613 0.0000 3.2613
3.2613 3.2613 0.0000
As N Cl
1 1 2
direct
0.0000 0.0000 0.0000
0.5000 0.5000 0.5000
0.2500 0.2500 0.2500
0.7500 0.7500 0.7500
```

Output
ΔE_f (raw) = 1.35 eV/atom

Record 7
This record from Alexandria via LeMat-Bulk describes a relaxed YMgZr2O crystal. The functional is PBE-GGA.

POSCAR file:
```
YMgZr2O
1.0
4.5412 0.0000 0.0000
0.0000 4.5412 0.0000
0.0000 0.0000 4.8059
Y Mg Zr O
1 1 2 1
direct
0.0000 0.0000 0.0000
0.5000 0.5000 0.0000
0.0000 0.5000 0.5000
0.5000 0.0000 0.5000
0.0000 0.0000 0.5000
```

Output
ΔE_f (raw) = -1.05 eV/atom

Record 8
This record from Alexandria via LeMat-Bulk describes a relaxed Li2ScGa2 crystal. The functional is PBE-GGA.

POSCAR file:
```
Li2ScGa2
1.0
-1.8681 1.8681 6.3412
1.8681 -1.8681 6.3412
1.8681 1.8681 -6.3412
Li Sc Ga
2 1 2
direct
0.2500 0.7500 0.5000
0.7500 0.2500 0.5000
0.0000 0.0000 0.0000
0.3985 0.3985 0.0000
0.6015 0.6015 0.0000
```

Output
ΔH_f (0 K) = -0.330 eV/atom

Record 9
This record from Alexandria via LeMat-Bulk describes a relaxed Ni4Ge2B crystal. The functional is PBE-GGA.

POSCAR file:
```
Ni4Ge2B
1.0
-1.9055 1.9055 6.0292
1.9055 -1.9055 6.0292
1.9055 1.9055 -6.0292
Ni Ge B
4 2 1
direct
0.0000 0.5000 0.5000
0.1610 0.1610 0.0000
0.5000 0.0000 0.5000
0.8390 0.8390 0.0000
0.3567 0.3567 0.0000
0.6433 0.6433 0.0000
0.0000 0.0000 0.0000
```

Output
ΔH_f (0 K) = -0.055 eV/atom

Record 10
This record from Alexandria via LeMat-Bulk describes a relaxed SbClF2 crystal. The functional is PBE-GGA.

POSCAR file:
```
SbClF2
1.0
-2.2940 2.2940 7.3040
2.2940 -2.2940 7.3040
2.2940 2.2940 -7.3040
Sb Cl F
2 2 4
direct
0.0000 0.0000 0.0000
0.7500 0.2500 0.5000
0.2500 0.7500 0.5000
0.5000 0.5000 0.0000
0.3750 0.2015 0.3265
0.7985 0.1250 0.1735
0.8750 0.0485 0.6735
0.9515 0.6250 0.8265
```

Output
ΔE_f (raw) = -1.41 eV/atom

Record 11
This record from Alexandria via LeMat-Bulk describes a relaxed Li2NdIn2Ag2 crystal. The functional is PBE-GGA.

POSCAR file:
```
Li2NdIn2Ag2
1.0
2.4157 1.3947 7.4802
-2.4157 1.3947 7.4802
0.0000 -2.7895 7.4802
Li Nd In Ag
2 1 2 2
direct
0.1418 0.1418 0.1418
0.8582 0.8582 0.8582
0.0000 0.0000 0.0000
0.2645 0.2645 0.2645
0.7355 0.7355 0.7355
0.4312 0.4312 0.4312
0.5688 0.5688 0.5688
```

Output
ΔH_f (0 K) = -0.257 eV/atom

Record 12
This record from Alexandria via LeMat-Bulk describes a relaxed Zr4Sc3Co2 crystal. The functional is PBE-GGA.

POSCAR file:
```
Zr4Sc3Co2
1.0
7.3938 -1.6636 0.0000
7.3938 1.6636 0.0000
-3.6841 0.0000 7.6279
Zr Sc Co
4 3 2
direct
0.0890 0.0890 0.1790
0.3217 0.3217 0.4621
0.6783 0.6783 0.5379
0.9110 0.9110 0.8210
0.0000 0.0000 0.5000
0.3624 0.3624 0.1175
0.6376 0.6376 0.8825
0.2597 0.2597 0.7835
0.7403 0.7403 0.2165
```

Output
ΔH_f (0 K) = -0.097 eV/atom

Number 1: M_tot 0.104 μB/atom, V 20.31 Å³ per atom, DOS(E_F) 6.3 states/eV/cell. Number 2: M_tot 0.000 μB/atom, V 46.31 Å³ per atom, DOS(E_F) 0.0 states/eV/cell. Number 3: M_tot 0.000 μB/atom, V 20.87 Å³ per atom, DOS(E_F) 7.6 states/eV/cell. Number 4: M_tot 0.000 μB/atom, V 38.53 Å³ per atom, DOS(E_F) 13.7 states/eV/cell. Number 5: M_tot 0.683 μB/atom, V 46.77 Å³ per atom, DOS(E_F) 3.8 states/eV/cell. Number 6: M_tot 0.505 μB/atom, V 17.34 Å³ per atom, DOS(E_F) 1.8 states/eV/cell. Number 7: M_tot 0.000 μB/atom, V 19.82 Å³ per atom, DOS(E_F) 2.8 states/eV/cell. Number 8: M_tot 0.000 μB/atom, V 17.70 Å³ per atom, DOS(E_F) 2.3 states/eV/cell. Number 9: M_tot 0.000 μB/atom, V 12.51 Å³ per atom, DOS(E_F) 4.8 states/eV/cell. Number 10: M_tot 0.000 μB/atom, V 19.22 Å³ per atom, DOS(E_F) 0.0 states/eV/cell. Number 11: M_tot 0.000 μB/atom, V 21.60 Å³ per atom, DOS(E_F) 3.4 states/eV/cell. Number 12: M_tot 0.000 μB/atom, V 20.85 Å³ per atom, DOS(E_F) 11.3 states/eV/cell.